Entry 1:
# Be2VNi2

Be2VNi2 after structural relaxation (PBE, Alexandria).

CIF file:
```
data_Be2VNi2
_symmetry_space_group_name_H-M 'P 4/m b m'
_symmetry_Int_Tables_number 127
_symmetry_space_group_name_Hall '-P 4 2ab'
_cell_length_a 6.393
_cell_length_b 6.393
_cell_length_c 2.449
_cell_angle_alpha 90.00
_cell_angle_beta 90.00
_cell_angle_gamma 90.00
loop_
_atom_site_label
_atom_site_fract_x
_atom_site_fract_y
_atom_site_fract_z
Be1 0.121 0.379 0.000
V1 0.000 0.000 0.000
Ni1 0.174 0.674 0.500
```

Computed properties:
E above lowest polymorph, meV per atom: 0
Energy relative to the elements, eV/atom: -0.277
DFT total energy, eV per atom: -5.90

Entry 2:
# Li2VSnCl6

Li2VSnCl6 after structural relaxation (PBE, Alexandria).

CIF file:
```
data_Li2VSnCl6
_symmetry_space_group_name_H-M 'R 3'
_symmetry_Int_Tables_number 146
_symmetry_space_group_name_Hall 'R 3'
_cell_length_a 6.5744
_cell_length_b 6.5744
_cell_length_c 18.1255
_cell_angle_alpha 90.00
_cell_angle_beta 90.00
_cell_angle_gamma 120.00
loop_
_atom_site_label
_atom_site_fract_x
_atom_site_fract_y
_atom_site_fract_z
Li1 0.0000 0.0000 0.0000
Li2 0.0000 0.0000 0.4887
V1 0.0000 0.0000 0.6840
Sn1 0.0000 0.0000 0.1937
Cl1 0.0037 0.3291 0.7560
Cl2 0.0217 0.6291 0.2653
```

Computed properties:
E_form (uncorrected), eV/atom: -1.328
DFT total energy, eV per atom: -4.13

Entry 3:
# RbBaCo2Br8

RbBaCo2Br8 after structural relaxation (PBE, Alexandria).

CIF file:
```
data_RbBaCo2Br8
_symmetry_space_group_name_H-M 'R -3'
_symmetry_Int_Tables_number 148
_symmetry_space_group_name_Hall '-R 3'
_cell_length_a 7.1235
_cell_length_b 7.1235
_cell_length_c 30.5329
_cell_angle_alpha 90.00
_cell_angle_beta 90.00
_cell_angle_gamma 120.00
loop_
_atom_site_label
_atom_site_fract_x
_atom_site_fract_y
_atom_site_fract_z
Rb1 0.0000 0.0000 0.0000
Ba1 0.0000 0.0000 0.5000
Co1 0.0000 0.0000 0.2554
Br1 0.0000 0.0000 0.3313
Br2 0.0001 0.3747 0.5630
```

Computed properties:
E_form (uncorrected), eV/atom: -0.999
DFT total energy, eV per atom: -3.54

Entry 4:
# YSc2Mo

YSc2Mo after structural relaxation (PBE, Alexandria).

CIF file:
```
data_YSc2Mo
_symmetry_space_group_name_H-M 'P 4 m m'
_symmetry_Int_Tables_number 99
_cell_length_a 3.598
_cell_length_b 3.598
_cell_length_c 7.268
_cell_angle_alpha 90.00
_cell_angle_beta 90.00
_cell_angle_gamma 90.00
loop_
_symmetry_equiv_pos_as_xyz
'x,y,z'
'-y,x,z'
'-x,-y,z'
'y,-x,z'
'-x,y,z'
'y,x,z'
'x,-y,z'
'-y,-x,z'
loop_
_atom_site_label
_atom_site_fract_x
_atom_site_fract_y
_atom_site_fract_z
Y1 0.000 0.000 0.000
Sc1 0.000 0.000 0.420
Sc2 0.500 0.500 0.662
Mo1 0.500 0.500 0.257
```

Computed properties:
E above lowest polymorph, meV per atom: 24
Energy relative to the elements, eV/atom: 0.168
DFT total energy, eV per atom: -7.32

Entry 5:
# Sc4GaAg3

Sc4GaAg3 after structural relaxation (PBE, Alexandria).

CIF file:
```
data_Sc4GaAg3
_symmetry_space_group_name_H-M 'P 4/m m m'
_symmetry_Int_Tables_number 123
_symmetry_space_group_name_Hall '-P 4 2'
_cell_length_a 3.404
_cell_length_b 3.404
_cell_length_c 13.753
_cell_angle_alpha 90.00
_cell_angle_beta 90.00
_cell_angle_gamma 90.00
loop_
_atom_site_label
_atom_site_fract_x
_atom_site_fract_y
_atom_site_fract_z
Sc1 0.000 0.000 0.121
Sc2 0.000 0.000 0.373
Ga1 0.500 0.500 0.000
Ag1 0.500 0.500 0.246
Ag2 0.500 0.500 0.500
```

Computed properties:
Energy relative to the elements, eV/atom: -0.364
DFT total energy, eV per atom: -4.98

Entry 6:
# B5C7

B5C7 after structural relaxation (PBE, Alexandria).

CIF file:
```
data_B5C7
_symmetry_space_group_name_H-M 'P 3 m 1'
_symmetry_Int_Tables_number 156
_cell_length_a 2.5383
_cell_length_b 2.5383
_cell_length_c 13.9468
_cell_angle_alpha 90.00
_cell_angle_beta 90.00
_cell_angle_gamma 120.00
loop_
_symmetry_equiv_pos_as_xyz
'x,y,z'
'-y,x-y,z'
'-x+y,-x,z'
'-y,-x,z'
'-x+y,y,z'
'x,x-y,z'
loop_
_atom_site_label
_atom_site_fract_x
_atom_site_fract_y
_atom_site_fract_z
B1 0.0000 0.0000 0.0000
B2 0.0000 0.0000 0.1214
B3 0.0000 0.0000 0.6137
B4 0.3333 0.6667 0.2015
B5 0.3333 0.6667 0.6888
C1 0.0000 0.0000 0.5004
C2 0.3333 0.6667 0.3146
C3 0.3333 0.6667 0.8019
C4 0.6667 0.3333 0.3520
C5 0.6667 0.3333 0.4630
C6 0.6667 0.3333 0.8411
C7 0.6667 0.3333 0.9484
```

Computed properties:
E above lowest polymorph, meV per atom: 113
Energy relative to the elements, eV/atom: 0.371
DFT total energy, eV per atom: -7.79

Entry 7:
# BaNiIr2

BaNiIr2 after structural relaxation (PBE, Alexandria).

CIF file:
```
data_BaNiIr2
_symmetry_space_group_name_H-M 'P 4/m m m'
_symmetry_Int_Tables_number 123
_symmetry_space_group_name_Hall '-P 4 2'
_cell_length_a 4.031
_cell_length_b 4.031
_cell_length_c 4.644
_cell_angle_alpha 90.00
_cell_angle_beta 90.00
_cell_angle_gamma 90.00
loop_
_atom_site_label
_atom_site_fract_x
_atom_site_fract_y
_atom_site_fract_z
Ba1 0.000 0.000 0.000
Ni1 0.500 0.500 0.000
Ir1 0.000 0.500 0.500
```

Computed properties:
Energy relative to the elements, eV/atom: 0.801
DFT total energy, eV per atom: -5.56

Entry 8:
# Rb2Zn3Sn4Pb

Rb2Zn3Sn4Pb after structural relaxation (PBE, Alexandria).

CIF file:
```
data_Rb2Zn3Sn4Pb
_symmetry_space_group_name_H-M 'P -4 m 2'
_symmetry_Int_Tables_number 115
_cell_length_a 4.932
_cell_length_b 4.932
_cell_length_c 12.010
_cell_angle_alpha 90.00
_cell_angle_beta 90.00
_cell_angle_gamma 90.00
loop_
_symmetry_equiv_pos_as_xyz
'x,y,z'
'y,-x,-z'
'-x,-y,z'
'-y,x,-z'
'-x,y,z'
'-y,-x,-z'
'x,-y,z'
'y,x,-z'
loop_
_atom_site_label
_atom_site_fract_x
_atom_site_fract_y
_atom_site_fract_z
Rb1 0.000 0.500 0.247
Zn1 0.000 0.500 0.874
Zn2 0.500 0.500 0.500
Sn1 0.000 0.000 0.000
Sn2 0.000 0.500 0.643
Sn3 0.500 0.500 0.000
Pb1 0.000 0.000 0.500
```

Computed properties:
Energy relative to the elements, eV/atom: -0.084
DFT total energy, eV per atom: -2.63

Entry 9:
# BaIn2Sn3

BaIn2Sn3 after structural relaxation (PBE, Alexandria).

CIF file:
```
data_BaIn2Sn3
_symmetry_space_group_name_H-M 'C 1 2/m 1'
_symmetry_Int_Tables_number 12
_cell_length_a 18.352
_cell_length_b 5.304
_cell_length_c 7.904
_cell_angle_alpha 90.00
_cell_angle_beta 106.40
_cell_angle_gamma 90.00
loop_
_symmetry_equiv_pos_as_xyz
'x,y,z'
'-x,-y,-z'
'-x,y,-z'
'x,-y,z'
'x+1/2,y+1/2,z'
'-x+1/2,-y+1/2,-z'
'-x+1/2,y+1/2,-z'
'x+1/2,-y+1/2,z'
loop_
_atom_site_label
_atom_site_fract_x
_atom_site_fract_y
_atom_site_fract_z
Ba1 0.118 0.000 0.180
In1 0.027 0.500 0.827
In2 0.233 0.000 0.643
Sn1 0.062 0.000 0.667
Sn2 0.129 0.500 0.528
Sn3 0.204 0.500 0.950
```

Computed properties:
E above lowest polymorph, meV per atom: 0
Energy relative to the elements, eV/atom: -0.265
DFT total energy, eV per atom: -3.50

Entry 10:
# Rb2HgCI6

Rb2HgCI6 after structural relaxation (PBE, Alexandria).

CIF file:
```
data_Rb2HgCI6
_symmetry_space_group_name_H-M 'I 4/m m m'
_symmetry_Int_Tables_number 139
_symmetry_space_group_name_Hall '-I 4 2'
_cell_length_a 8.094
_cell_length_b 8.094
_cell_length_c 11.439
_cell_angle_alpha 90.00
_cell_angle_beta 90.00
_cell_angle_gamma 90.00
loop_
_atom_site_label
_atom_site_fract_x
_atom_site_fract_y
_atom_site_fract_z
Rb1 0.000 0.500 0.250
Hg1 0.000 0.000 0.000
C1 0.000 0.000 0.500
I1 0.000 0.000 0.266
I2 0.234 0.234 0.500
```

Computed properties:
E_form (uncorrected), eV/atom: -0.148
DFT total energy, eV per atom: -2.22

Entry 11:
# HfC3I

HfC3I after structural relaxation (PBE, Alexandria).

CIF file:
```
data_HfC3I
_symmetry_space_group_name_H-M 'P m -3 m'
_symmetry_Int_Tables_number 221
_symmetry_space_group_name_Hall '-P 4 2 3'
_cell_length_a 4.432
_cell_length_b 4.432
_cell_length_c 4.432
_cell_angle_alpha 90.00
_cell_angle_beta 90.00
_cell_angle_gamma 90.00
loop_
_atom_site_label
_atom_site_fract_x
_atom_site_fract_y
_atom_site_fract_z
Hf1 0.000 0.000 0.000
C1 0.000 0.000 0.500
I1 0.500 0.500 0.500
```

Computed properties:
E above lowest polymorph, meV per atom: 0
E_form (uncorrected), eV/atom: 2.276
DFT total energy, eV per atom: -5.56

Entry 12:
# Li2InRu

Li2InRu after structural relaxation (PBE, Alexandria).

CIF file:
```
data_Li2InRu
_symmetry_space_group_name_H-M 'C m m m'
_symmetry_Int_Tables_number 65
_symmetry_space_group_name_Hall '-C 2 2'
_cell_length_a 3.709
_cell_length_b 4.073
_cell_length_c 8.826
_cell_angle_alpha 90.00
_cell_angle_beta 90.00
_cell_angle_gamma 90.00
loop_
_atom_site_label
_atom_site_fract_x
_atom_site_fract_y
_atom_site_fract_z
Li1 0.000 0.000 0.224
In1 0.000 0.500 0.500
Ru1 0.000 0.500 0.000
```

Computed properties:
Energy relative to the elements, eV/atom: 0.175
DFT total energy, eV per atom: -3.79